Record 1
# NaPmErCd | the Alexandria database | PBE | relaxed
data_NaPmErCd
_space_group_name_H-M_alt 'F -4 3 m'
_space_group_IT_number 216
_space_group_name_Hall 'F -4 2 3'
_cell_length_a 7.688
_cell_length_b 7.688
_cell_length_c 7.688
_cell_angle_alpha 90.00
_cell_angle_beta 90.00
_cell_angle_gamma 90.00
loop_
_atom_site_label
_atom_site_fract_x
_atom_site_fract_y
_atom_site_fract_z
_atom_site_occupancy
Na1 0.000 0.000 0.000 1
Pm1 0.250 0.250 0.750 1
Er1 0.250 0.250 0.250 1
Cd1 0.000 0.000 0.500 1
# energy of formation from the pure elements = 36 meV per atom
# V = 454.5 Å³ per cell
# theoretical density = 6.5 g cm⁻³
# spin magnetization = 2.58 Bohr magnetons per cell

---

Record 2
# NaPrErCd | the Alexandria database | PBE | relaxed
data_NaPrErCd
_space_group_name_H-M_alt 'F -4 3 m'
_space_group_IT_number 216
_space_group_name_Hall 'F -4 2 3'
_cell_length_a 7.743
_cell_length_b 7.743
_cell_length_c 7.743
_cell_angle_alpha 90.00
_cell_angle_beta 90.00
_cell_angle_gamma 90.00
loop_
_atom_site_label
_atom_site_fract_x
_atom_site_fract_y
_atom_site_fract_z
_atom_site_occupancy
Na1 0.000 0.000 0.000 1
Pr1 0.250 0.250 0.750 1
Er1 0.250 0.250 0.250 1
Cd1 0.000 0.000 0.500 1
# energy of formation from the pure elements = 28 meV per atom
# V = 464.2 Å³ per cell
# theoretical density = 6.3 g cm⁻³
# spin magnetization = 2.90 Bohr magnetons per cell

---

Record 3
# NaSrErCd | the Alexandria database | PBE | relaxed
data_NaSrErCd
_space_group_name_H-M_alt 'F -4 3 m'
_space_group_IT_number 216
_space_group_name_Hall 'F -4 2 3'
_cell_length_a 7.957
_cell_length_b 7.957
_cell_length_c 7.957
_cell_angle_alpha 90.00
_cell_angle_beta 90.00
_cell_angle_gamma 90.00
loop_
_atom_site_label
_atom_site_fract_x
_atom_site_fract_y
_atom_site_fract_z
_atom_site_occupancy
Na1 0.000 0.000 0.000 1
Sr1 0.250 0.250 0.250 1
Er1 0.250 0.250 0.750 1
Cd1 0.000 0.000 0.500 1
# energy of formation from the pure elements = 36 meV per atom
# V = 503.9 Å³ per cell
# theoretical density = 5.1 g cm⁻³
# spin magnetization = 0.00 Bohr magnetons per cell

---

Record 4
# Na4Er3CdTe8 | the Alexandria database | PBE | relaxed
data_Na4Er3CdTe8
_space_group_name_H-M_alt 'R -3 m'
_space_group_IT_number 166
_space_group_name_Hall '-R 3 2"'
_cell_length_a 8.7041
_cell_length_b 8.7041
_cell_length_c 23.0339
_cell_angle_alpha 90.00
_cell_angle_beta 90.00
_cell_angle_gamma 120.00
loop_
_atom_site_label
_atom_site_fract_x
_atom_site_fract_y
_atom_site_fract_z
_atom_site_occupancy
Na1 0.0000 0.0000 0.0000 1
Na2 0.0000 0.5000 0.0000 1
Er1 0.0000 0.5000 0.5000 1
Cd1 0.0000 0.0000 0.5000 1
Te1 0.0000 0.0000 0.2436 1
Te2 0.0015 0.5007 0.7570 1
# V = 1511.4 Å³ per cell
# theoretical density = 5.7 g cm⁻³
# spin magnetization = 0.00 Bohr magnetons per cell
# E_form (uncorrected) = -1.0692 eV/atom

---

Record 5
# NaErTlCd | the Alexandria database | PBE | relaxed
data_NaErTlCd
_space_group_name_H-M_alt 'P 4 m m'
_space_group_IT_number 99
_cell_length_a 3.745
_cell_length_b 3.745
_cell_length_c 7.544
_cell_angle_alpha 90.00
_cell_angle_beta 90.00
_cell_angle_gamma 90.00
loop_
_space_group_symop_operation_xyz
'x,y,z'
'-y,x,z'
'-x,-y,z'
'y,-x,z'
'-x,y,z'
'y,x,z'
'x,-y,z'
'-y,-x,z'
loop_
_atom_site_label
_atom_site_fract_x
_atom_site_fract_y
_atom_site_fract_z
_atom_site_occupancy
Na1 0.000 0.000 0.000 1
Er1 0.000 0.000 0.508 1
Tl1 0.500 0.500 0.255 1
Cd1 0.500 0.500 0.749 1
# energy of formation from the pure elements = -179 meV per atom
# V = 105.8 Å³ per cell
# theoretical density = 8.0 g cm⁻³
# spin magnetization = 0.00 Bohr magnetons per cell

---

Record 6
# NaErTlCd | the Alexandria database | PBE | relaxed
data_NaErTlCd
_space_group_name_H-M_alt 'F -4 3 m'
_space_group_IT_number 216
_space_group_name_Hall 'F -4 2 3'
_cell_length_a 7.419
_cell_length_b 7.419
_cell_length_c 7.419
_cell_angle_alpha 90.00
_cell_angle_beta 90.00
_cell_angle_gamma 90.00
loop_
_atom_site_label
_atom_site_fract_x
_atom_site_fract_y
_atom_site_fract_z
_atom_site_occupancy
Na1 0.000 0.000 0.000 1
Er1 0.000 0.000 0.500 1
Tl1 0.250 0.250 0.750 1
Cd1 0.250 0.250 0.250 1
# energy of formation from the pure elements = -180 meV per atom
# V = 408.3 Å³ per cell
# theoretical density = 8.2 g cm⁻³
# spin magnetization = 0.00 Bohr magnetons per cell

---

Record 7
# NaErZnCd | the Alexandria database | PBE | relaxed
data_NaErZnCd
_space_group_name_H-M_alt 'F -4 3 m'
_space_group_IT_number 216
_space_group_name_Hall 'F -4 2 3'
_cell_length_a 7.184
_cell_length_b 7.184
_cell_length_c 7.184
_cell_angle_alpha 90.00
_cell_angle_beta 90.00
_cell_angle_gamma 90.00
loop_
_atom_site_label
_atom_site_fract_x
_atom_site_fract_y
_atom_site_fract_z
_atom_site_occupancy
Na1 0.000 0.000 0.000 1
Er1 0.000 0.000 0.500 1
Zn1 0.250 0.250 0.250 1
Cd1 0.250 0.250 0.750 1
# energy of formation from the pure elements = -74 meV per atom
# V = 370.8 Å³ per cell
# theoretical density = 6.6 g cm⁻³
# spin magnetization = 0.00 Bohr magnetons per cell

---

Record 8
# Er2NbCd | the Alexandria database | PBE | relaxed
data_Er2NbCd
_space_group_name_H-M_alt 'R -3 m'
_space_group_IT_number 166
_space_group_name_Hall '-R 3 2"'
_cell_length_a 3.1700
_cell_length_b 3.1700
_cell_length_c 34.3693
_cell_angle_alpha 90.00
_cell_angle_beta 90.00
_cell_angle_gamma 120.00
loop_
_atom_site_label
_atom_site_fract_x
_atom_site_fract_y
_atom_site_fract_z
_atom_site_occupancy
Er1 0.0000 0.0000 0.0857 1
Nb1 0.0000 0.0000 0.0000 1
Cd1 0.0000 0.0000 0.5000 1
# energy of formation from the pure elements = 451 meV per atom
# V = 299.1 Å³ per cell
# theoretical density = 9.0 g cm⁻³
# spin magnetization = 2.08 Bohr magnetons per cell
# E above lowest polymorph = 1.78 eV per formula unit

---

Record 9
# Er2NbCd | the Alexandria database | PBE | relaxed
data_Er2NbCd
_space_group_name_H-M_alt 'P 4/m m m'
_space_group_IT_number 123
_space_group_name_Hall '-P 4 2'
_cell_length_a 3.330
_cell_length_b 3.330
_cell_length_c 8.789
_cell_angle_alpha 90.00
_cell_angle_beta 90.00
_cell_angle_gamma 90.00
loop_
_atom_site_label
_atom_site_fract_x
_atom_site_fract_y
_atom_site_fract_z
_atom_site_occupancy
Er1 0.000 0.000 0.240 1
Nb1 0.500 0.500 0.000 1
Cd1 0.500 0.500 0.500 1
# energy of formation from the pure elements = 5 meV per atom
# V = 97.5 Å³ per cell
# theoretical density = 9.2 g cm⁻³
# spin magnetization = 0.00 Bohr magnetons per cell
# E above lowest polymorph = 0.00 eV per formula unit

---

Record 10
# NdEr2Cd | the Alexandria database | PBE | relaxed
data_NdEr2Cd
_space_group_name_H-M_alt 'I m m m'
_space_group_IT_number 71
_space_group_name_Hall '-I 2 2'
_cell_length_a 3.779
_cell_length_b 5.505
_cell_length_c 11.408
_cell_angle_alpha 90.00
_cell_angle_beta 90.00
_cell_angle_gamma 90.00
loop_
_atom_site_label
_atom_site_fract_x
_atom_site_fract_y
_atom_site_fract_z
_atom_site_occupancy
Nd1 0.000 0.000 0.000 1
Er1 0.000 0.500 0.224 1
Cd1 0.000 0.000 0.500 1
# energy of formation from the pure elements = -145 meV per atom
# V = 237.4 Å³ per cell
# theoretical density = 8.3 g cm⁻³
# spin magnetization = 0.00 Bohr magnetons per cell
# E above lowest polymorph = 0.02 eV per formula unit

---

Record 11
# Nd2Er2Cd | the Alexandria database | PBE | relaxed
data_Nd2Er2Cd
_space_group_name_H-M_alt 'I 4/m m m'
_space_group_IT_number 139
_space_group_name_Hall '-I 4 2'
_cell_length_a 3.613
_cell_length_b 3.613
_cell_length_c 23.395
_cell_angle_alpha 90.00
_cell_angle_beta 90.00
_cell_angle_gamma 90.00
loop_
_atom_site_label
_atom_site_fract_x
_atom_site_fract_y
_atom_site_fract_z
_atom_site_occupancy
Nd1 0.000 0.000 0.193 1
Er1 0.000 0.000 0.415 1
Cd1 0.000 0.000 0.000 1
# energy of formation from the pure elements = -111 meV per atom
# V = 305.3 Å³ per cell
# theoretical density = 8.0 g cm⁻³
# spin magnetization = 0.11 Bohr magnetons per cell
# E above lowest polymorph = 0.00 eV per formula unit

---

Record 12
# NdEr2Cd | the Alexandria database | PBE | relaxed
data_NdEr2Cd
_space_group_name_H-M_alt 'F m -3 m'
_space_group_IT_number 225
_space_group_name_Hall '-F 4 2 3'
_cell_length_a 7.718
_cell_length_b 7.718
_cell_length_c 7.718
_cell_angle_alpha 90.00
_cell_angle_beta 90.00
_cell_angle_gamma 90.00
loop_
_atom_site_label
_atom_site_fract_x
_atom_site_fract_y
_atom_site_fract_z
_atom_site_occupancy
Nd1 0.000 0.000 0.000 1
Er1 0.250 0.250 0.250 1
Cd1 0.000 0.000 0.500 1
# energy of formation from the pure elements = 30 meV per atom
# V = 459.7 Å³ per cell
# theoretical density = 8.5 g cm⁻³
# spin magnetization = 2.73 Bohr magnetons per cell
# E above lowest polymorph = 0.72 eV per formula unit

---

Calculated values (eV/atom) of VASP energy for the records, taken in order: -2.8507, -2.8658, -2.0833, -3.8825, -2.4702, -2.4706, -2.0917, -4.5762, -5.0223, -3.8475, -4.0265, -3.6724.